Pa3Sb4 | PBEsol | optimized geometry

abc: 7.810 7.810 7.810
angles: 109.47 109.47 109.47
Fractional positions:
Pa 0.125 0.875 0.250
Sb 0.500 0.340 0.500
Pa 0.250 0.375 0.125
Sb 0.160 0.160 0.660
Pa 0.750 0.125 0.375
Sb 0.660 0.660 0.160
Pa 0.875 0.750 0.625
Sb 0.000 0.500 0.340
Sb 0.500 0.840 0.500
Sb 0.840 0.000 0.000
Pa 0.375 0.625 0.750
Sb 0.000 0.500 0.840
Sb 0.340 0.000 0.000
Pa 0.625 0.250 0.875

Properties
Calculated total energy ... -0.552 Ry per atom
E_form (uncorrected) ... -0.524 eV/atom